(1)
VASP calculation (GGA-PBE) on a relaxed structure of CoTeAs2.

The formation energy without anion corrections is 0.076 eV/atom. Its symmetry is Pm (6).

Cell: 3.9057 4.2473 5.3780 Å, 91.35 90.00 90.00°
Sites, in units of the cell vectors:
Co (0.0000, 0.5101, 0.4185)
Te (0.5000, 0.6433, 0.7039)
As (0.0000, 0.9727, 0.2018)
As (0.5000, 0.3739, 0.1758)


(2)
VASP calculation (GGA-PBE) on a relaxed structure of Tb5PmSm2.

Its symmetry is Pbam (55). The calculation puts the excess energy over the best structure of this formula in the dataset at 0.0000 eV per atom.

Cell: 5.0653 7.1843 14.3705 Å, 90.00 90.00 90.00°
Sites, in units of the cell vectors:
Sm (0.5000, 0.2494, 0.1255)
Sm (0.5000, 0.7494, 0.3745)
Tb (0.0000, 0.4994, 0.2506)
Tb (0.5000, 0.2502, 0.8745)
Tb (0.0000, 0.9994, 0.2494)
Tb (0.0000, 0.0000, 0.0000)
Tb (0.0000, 0.0006, 0.7506)
Tb (0.5000, 0.7502, 0.6255)
Sm (0.5000, 0.2506, 0.6255)
Tb (0.5000, 0.7498, 0.1255)
Tb (0.0000, 0.5006, 0.7494)
Sm (0.5000, 0.7506, 0.8745)
Tb (0.5000, 0.2498, 0.3745)
Tb (0.0000, 0.5000, 0.5000)
Pm (0.0000, 0.0000, 0.5000)
Pm (0.0000, 0.5000, 0.0000)


(3)
VASP calculation (GGA-PBE) on a relaxed structure of ZnCu4Au3.

The final energy comes out at -3.518 eV/atom. Its symmetry is C2/m (12).

Cell: 3.6750 3.9612 8.4875 Å, 103.63 102.50 90.00°
Sites, in units of the cell vectors:
Au (0.1320, 0.1311, 0.2639)
Cu (0.3658, 0.3674, 0.7316)
Au (0.0000, 0.5000, 0.0000)
Cu (0.6342, 0.6326, 0.2684)
Au (0.8680, 0.8689, 0.7361)
Cu (0.7531, 0.2524, 0.5063)
Cu (0.2469, 0.7476, 0.4937)
Zn (0.5000, 0.0000, 0.0000)


(4)
VASP calculation (GGA-PBE) on a relaxed structure of Pr3Y5Tm4.

Its symmetry is P-1 (2). The calculation puts the excess energy over the best structure of this formula in the dataset at 0.0000 eV per atom.

Cell: 7.1551 11.3137 12.8970 Å, 151.28 56.42 129.22°
Sites, in units of the cell vectors:
Tm (0.9186, 0.8351, 0.6687)
Tm (0.8351, 0.6693, 0.8346)
Pr (0.4128, 0.8308, 0.6654)
Pr (0.0000, 0.0000, 0.5000)
Y (0.5000, 0.0000, 0.5000)
Pr (0.5872, 0.1692, 0.3346)
Y (0.6659, 0.3319, 0.1661)
Y (0.2518, 0.4981, 0.9984)
Y (0.3341, 0.6681, 0.8339)
Tm (0.1649, 0.3307, 0.1654)
Tm (0.0814, 0.1649, 0.3313)
Y (0.7482, 0.5019, 0.0016)


(5)
VASP calculation (GGA-PBE) on a relaxed structure of YErFe.

The final energy comes out at -6.453 eV/atom. Its symmetry is I4mm (107).

Cell: 3.3206 3.3206 6.7912 Å, 104.15 104.15 90.00°
Sites, in units of the cell vectors:
Er (0.2916, 0.2916, 0.5832)
Y (0.0398, 0.0398, 0.0797)
Fe (0.6686, 0.6686, 0.3371)


(6)
VASP calculation (GGA-PBE) on a relaxed structure of PuAl2H6.

The final energy comes out at -4.135 eV/atom. Its symmetry is Fm-3m (225).

Cell: 4.9598 4.9598 4.9598 Å, 60.00 60.00 60.00°
Sites, in units of the cell vectors:
H (0.2871, 0.7129, 0.7129)
H (0.7129, 0.2871, 0.7129)
H (0.7129, 0.7129, 0.2871)
Al (0.2500, 0.2500, 0.2500)
H (0.2871, 0.2871, 0.7129)
Pu (0.0000, 0.0000, 0.0000)
H (0.7129, 0.2871, 0.2871)
Al (0.7500, 0.7500, 0.7500)
H (0.2871, 0.7129, 0.2871)